This record from Alexandria describes crystalline CeMgSb2 at its relaxed geometry. The functional is PBE.

It has space group R3m (No. 160, hexagonal axes), with a = 4.4524 Å, b = 4.4524 Å, c = 20.7471 Å, α = 90.00°, β = 90.00° and γ = 120.00°. The asymmetric unit holds Ce at (0.0000, 0.0000, 0.0000), Mg at (0.0000, 0.0000, 0.8281), Sb at (0.0000, 0.0000, 0.4186) and Sb at (0.0000, 0.0000, 0.5799).

The offset from the most stable computed form comes out at 0.069 eV per atom. The volume comes out at 29.7 Å³ per atom. The calculation puts the formation energy (no corrections) at -0.595 eV per atom.

This record from Alexandria describes crystalline Ce5MgSb3 at its relaxed geometry. The functional is PBE.

It has space group P6_3/mcm (No. 193), with a = 9.4681 Å, b = 9.4681 Å, c = 6.4448 Å, α = 90.00°, β = 90.00° and γ = 120.00°. The asymmetric unit holds Ce at (0.0000, 0.2989, 0.2500), Ce at (0.3333, 0.6667, 0.0000), Mg at (0.0000, 0.0000, 0.0000) and Sb at (0.0000, 0.3619, 0.7500).

The volume comes out at 27.8 Å³ per atom. The calculation puts the formation energy (no corrections) at -0.705 eV per atom.

This record from Alexandria describes crystalline CeMg8Sb6 at its relaxed geometry. The functional is PBE.

It has space group R-3 (No. 148, hexagonal axes), with a = 8.1395 Å, b = 8.1395 Å, c = 21.6872 Å, α = 90.00°, β = 90.00° and γ = 120.00°. The asymmetric unit holds Ce at (0.0000, 0.0000, 0.0000), Mg at (0.0000, 0.0000, 0.3335), Mg at (0.0013, 0.6701, 0.1206) and Sb at (0.0010, 0.6605, 0.9236).

The volume comes out at 27.7 Å³ per atom. The calculation puts the formation energy (no corrections) at -0.439 eV per atom.

This record from Alexandria describes crystalline CeMgSb2 at its relaxed geometry. The functional is PBE.

It has space group P4/mmm (No. 123), with a = 5.007 Å, b = 5.007 Å, c = 4.112 Å, α = 90.00°, β = 90.00° and γ = 90.00°. The asymmetric unit holds Ce at (0.000, 0.000, 0.000), Mg at (0.500, 0.500, 0.000) and Sb at (0.000, 0.500, 0.500).

The offset from the most stable computed form comes out at 0.000 eV per atom. The volume comes out at 25.8 Å³ per atom. The calculation puts the formation energy (no corrections) at -0.664 eV per atom.

This record from Alexandria describes crystalline CeMgSb3 at its relaxed geometry. The functional is PBE.

It has space group Pbcm (No. 57), with a = 13.490 Å, b = 6.215 Å, c = 6.393 Å, α = 90.00°, β = 90.00° and γ = 90.00°. The asymmetric unit holds Ce at (0.182, 0.001, 0.250), Mg at (0.397, 0.750, 0.000), Sb at (0.001, 0.750, 0.000), Sb at (0.242, 0.001, 0.750) and Sb at (0.418, 0.171, 0.250).

The volume comes out at 26.8 Å³ per atom. The calculation puts the formation energy (no corrections) at -0.540 eV per atom.

This record from Alexandria describes crystalline Ce2MgSb4 at its relaxed geometry. The functional is PBE.

It has space group P-4m2 (No. 115), with a = 4.343 Å, b = 4.343 Å, c = 10.915 Å, α = 90.00°, β = 90.00° and γ = 90.00°. The asymmetric unit holds Ce at (0.000, 0.500, 0.228), Mg at (0.000, 0.000, 0.500), Sb at (0.000, 0.000, 0.000), Sb at (0.000, 0.500, 0.675) and Sb at (0.500, 0.500, 0.000).

The volume comes out at 29.4 Å³ per atom. The calculation puts the formation energy (no corrections) at -0.724 eV per atom.

This record from Alexandria describes crystalline CeMgSb2 at its relaxed geometry. The functional is PBE.

It has space group P4/mmm (No. 123), with a = 3.999 Å, b = 3.999 Å, c = 6.584 Å, α = 90.00°, β = 90.00° and γ = 90.00°. The asymmetric unit holds Ce at (0.000, 0.000, 0.000), Mg at (0.000, 0.000, 0.500) and Sb at (0.500, 0.500, 0.254).

The offset from the most stable computed form comes out at 0.134 eV per atom. The volume comes out at 26.3 Å³ per atom. The calculation puts the formation energy (no corrections) at -0.529 eV per atom.

This record from Alexandria describes crystalline CeMgSb2 at its relaxed geometry. The functional is PBE.

It has space group P4/nmm (No. 129, origin choice 2), with a = 4.430 Å, b = 4.430 Å, c = 10.974 Å, α = 90.00°, β = 90.00° and γ = 90.00°. The asymmetric unit holds Ce at (0.250, 0.250, 0.221), Mg at (0.250, 0.750, 0.500), Sb at (0.250, 0.250, 0.681) and Sb at (0.250, 0.750, 0.000).

The offset from the most stable computed form comes out at 0.002 eV per atom. The volume comes out at 26.9 Å³ per atom. The calculation puts the formation energy (no corrections) at -0.662 eV per atom.